Density functional theory data (PBE+U) for crystalline Ni3PdF at its relaxed geometry.

The structure in CIF format:
```
data_Ni3PdF
_cell_length_a 4.734
_cell_length_b 4.734
_cell_length_c 4.734
_cell_angle_alpha 90.00
_cell_angle_beta 90.00
_cell_angle_gamma 90.00
_space_group_name_H-M_alt 'P 1'
_space_group_IT_number 1
_space_group_name_Hall 'P 1'
loop_
_atom_site_label
_atom_site_fract_x
_atom_site_fract_y
_atom_site_fract_z
_atom_site_occupancy
F1 0.500 0.500 0.500 1
Ni1 0.500 0.000 0.000 1
Pd1 0.000 0.000 0.000 1
Ni2 0.000 0.000 0.500 1
Ni3 0.000 0.500 0.000 1
```

Computed properties:
ΔE to the lowest computed polymorph (kJ per mole of atoms): 86.0
Space group: Pm-3m (221)
M_tot (Bohr magnetons per cell): 4.79
Calculated total energy (eV/atom): -1.915